# 1
Entry from Alexandria via LeMat-Bulk: a geometry-optimized ZnIrSe structure (GGA-PBE).

Geometry as POSCAR:
```
ZnIrSe
1.0
4.366 0.000 0.000
-2.183 3.781 0.000
0.000 0.000 2.934
Se Ir Zn
1 1 1
Direct
0.667 0.333 0.166 Se
0.000 0.000 0.167 Ir
0.333 0.667 0.667 Zn
```

Summary:
* DOS at the Fermi energy: 0.613 states/eV per atom
* total magnetic moment: 0.00 μB per cell
* energy above the lowest structure with this stoichiometry: 138 meV per atom


# 2
Entry from Alexandria via LeMat-Bulk: a geometry-optimized Tb2ZnPt structure (GGA-PBE).

Geometry as POSCAR:
```
Tb2ZnPt
1.0
-3.037 -1.069 3.193
-3.528 -2.253 -4.109
4.817 -5.026 2.899
Pt Zn Tb
2 2 4
Direct
0.250 0.353 0.709 Pt
0.750 0.647 0.291 Pt
0.750 0.673 0.797 Zn
0.250 0.327 0.203 Zn
0.750 0.210 0.428 Tb
0.250 0.790 0.572 Tb
0.750 0.235 0.915 Tb
0.250 0.765 0.085 Tb
```

Summary:
* DOS at the Fermi energy: 0.710 states/eV per atom
* total magnetic moment: 0.00 μB per cell
* formation energy: -0.825 eV/atom


# 3
Entry from Alexandria via LeMat-Bulk: a geometry-optimized ZrFe2Cl structure (GGA-PBE).

Geometry as POSCAR:
```
ZrFe2Cl
1.0
5.178 -0.003 0.000
-2.738 4.396 0.000
0.000 0.000 2.972
Fe Zr Cl
2 1 1
Direct
0.000 0.000 0.000 Fe
0.500 0.500 0.000 Fe
0.500 0.000 0.500 Zr
0.000 0.500 0.500 Cl
```

Summary:
* DOS at the Fermi energy: 0.987 states/eV per atom
* total magnetic moment: 5.41 μB per cell
* energy above the lowest structure with this stoichiometry: 446 meV per atom